Record 1
# BeTeRh2 (meta-GGA SCAN, single point on PBEsol structure)
# Spin magnetization in μB/f.u.: 0.0
# Formation energy from raw total energies in eV/atom: -0.154
# Calculated total energy in eV per formula unit: -109.76
data_BeTeRh2
_chemical_formula_sum 'Be4 Te4 Rh8'
_cell_length_a 6.0995
_cell_length_b 6.0995
_cell_length_c 6.0995
_cell_angle_alpha 90.00
_cell_angle_beta 90.00
_cell_angle_gamma 90.00
_symmetry_space_group_name_H-M 'F m -3 m'
_symmetry_Int_Tables_number 225
_symmetry_space_group_name_Hall '-F 4 2 3'
loop_
_atom_site_label
_atom_site_fract_x
_atom_site_fract_y
_atom_site_fract_z
Be1 0.0000 0.0000 0.0000
Te1 0.0000 0.0000 0.5000
Rh1 0.2500 0.2500 0.2500

---

Record 2
# BeTe2Rh (meta-GGA SCAN, single point on PBEsol structure)
# Spin magnetization in μB/f.u.: 0.0
# Formation energy from raw total energies in eV/atom: 0.406
# Calculated total energy in eV per formula unit: -111.00
data_BeTe2Rh
_chemical_formula_sum 'Be2 Te4 Rh2'
_cell_length_a 3.8406
_cell_length_b 5.2458
_cell_length_c 7.3560
_cell_angle_alpha 90.00
_cell_angle_beta 90.00
_cell_angle_gamma 90.00
_symmetry_space_group_name_H-M 'C m m m'
_symmetry_Int_Tables_number 65
_symmetry_space_group_name_Hall '-C 2 2'
loop_
_atom_site_label
_atom_site_fract_x
_atom_site_fract_y
_atom_site_fract_z
Be1 0.0000 0.0000 0.0000
Te1 0.0000 0.5000 0.2424
Rh1 0.0000 0.0000 0.5000

---

Record 3
# BeTe2Rh (meta-GGA SCAN, single point on PBEsol structure)
# Spin magnetization in μB/f.u.: 0.0
# Formation energy from raw total energies in eV/atom: 0.686
# Calculated total energy in eV per formula unit: -109.88
data_BeTe2Rh
_chemical_formula_sum 'Be4 Te8 Rh4'
_cell_length_a 6.7071
_cell_length_b 6.7071
_cell_length_c 6.7071
_cell_angle_alpha 90.00
_cell_angle_beta 90.00
_cell_angle_gamma 90.00
_symmetry_space_group_name_H-M 'F -4 3 m'
_symmetry_Int_Tables_number 216
_symmetry_space_group_name_Hall 'F -4 2 3'
loop_
_atom_site_label
_atom_site_fract_x
_atom_site_fract_y
_atom_site_fract_z
Be1 0.0000 0.0000 0.0000
Te1 0.0000 0.0000 0.5000
Te2 0.2500 0.2500 0.2500
Rh1 0.2500 0.2500 0.7500

---

Record 4
# BeTe2Rh (meta-GGA SCAN, single point on PBEsol structure)
# Spin magnetization in μB/f.u.: 0.0
# Formation energy from raw total energies in eV/atom: -0.065
# Calculated total energy in eV per formula unit: -112.89
data_BeTe2Rh
_chemical_formula_sum 'Be3 Te6 Rh3'
_cell_length_a 3.7691
_cell_length_b 3.7691
_cell_length_c 18.5007
_cell_angle_alpha 90.00
_cell_angle_beta 90.00
_cell_angle_gamma 120.00
_symmetry_space_group_name_H-M 'R -3 m'
_symmetry_Int_Tables_number 166
_symmetry_space_group_name_Hall '-R 3 2"'
loop_
_atom_site_label
_atom_site_fract_x
_atom_site_fract_y
_atom_site_fract_z
Be1 0.0000 0.0000 0.0000
Te1 0.0000 0.0000 0.2509
Rh1 0.0000 0.0000 0.5000

---

Record 5
# BeTe4Rh (meta-GGA SCAN, single point on PBEsol structure)
# Spin magnetization in μB/f.u.: 0.4
# Formation energy from raw total energies in eV/atom: 1.247
# Calculated total energy in eV per formula unit: -179.65
data_BeTe4Rh
_chemical_formula_sum 'Be4 Te16 Rh4'
_cell_length_a 8.5364
_cell_length_b 8.5364
_cell_length_c 8.5364
_cell_angle_alpha 90.00
_cell_angle_beta 90.00
_cell_angle_gamma 90.00
_symmetry_space_group_name_H-M 'F -4 3 m'
_symmetry_Int_Tables_number 216
_symmetry_space_group_name_Hall 'F -4 2 3'
loop_
_atom_site_label
_atom_site_fract_x
_atom_site_fract_y
_atom_site_fract_z
Be1 0.0000 0.0000 0.0000
Te1 0.1247 0.1247 0.6247
Rh1 0.2500 0.2500 0.2500

---

Record 6
# BeTe2Rh (meta-GGA SCAN, single point on PBEsol structure)
# Spin magnetization in μB/f.u.: 0.0
# Formation energy from raw total energies in eV/atom: 0.191
# Calculated total energy in eV per formula unit: -111.86
data_BeTe2Rh
_chemical_formula_sum 'Be2 Te4 Rh2'
_cell_length_a 5.8807
_cell_length_b 7.5491
_cell_length_c 3.6474
_cell_angle_alpha 90.00
_cell_angle_beta 90.00
_cell_angle_gamma 90.00
_symmetry_space_group_name_H-M 'C m m m'
_symmetry_Int_Tables_number 65
_symmetry_space_group_name_Hall '-C 2 2'
loop_
_atom_site_label
_atom_site_fract_x
_atom_site_fract_y
_atom_site_fract_z
Be1 0.0000 0.0000 0.0000
Te1 0.0000 0.2539 0.5000
Rh1 0.0000 0.5000 0.0000

---

Question: Which value of formation energy from raw total energies does entry 2 give?
Answer: 0.406 eV/atom